Compound: As5W4
Source: Alexandria via LeMat-Bulk
Functional: GGA-PBE
Structure: relaxed

a b c (Å): 7.119 7.119 7.119
angles (deg): 92.92 92.92 153.92
Fractional positions:
As 0.000 0.000 0.000
As 0.328 0.328 0.657
As 0.328 0.672 0.000
As 0.672 0.328 0.000
As 0.672 0.672 0.343
W 0.000 0.344 0.344
W 0.000 0.656 0.656
W 0.344 0.000 0.344
W 0.656 0.000 0.656

Computed properties:
energy: -70.20 eV per formula unit
relative energy among the computed polymorphs: 0.0 meV per atom

Compound: CoSb3
Source: Alexandria via LeMat-Bulk
Functional: GGA-PBE
Structure: relaxed

a b c (Å): 6.281 10.476 6.071
angles (deg): 90.00 90.00 90.00
Fractional positions:
Co 0.073 0.250 0.037
Co 0.427 0.750 0.537
Co 0.573 0.250 0.463
Co 0.927 0.750 0.963
Sb 0.065 0.750 0.352
Sb 0.246 0.111 0.352
Sb 0.246 0.389 0.352
Sb 0.254 0.611 0.852
Sb 0.254 0.889 0.852
Sb 0.435 0.250 0.852
Sb 0.565 0.750 0.148
Sb 0.746 0.111 0.148
Sb 0.746 0.389 0.148
Sb 0.754 0.611 0.648
Sb 0.754 0.889 0.648
Sb 0.935 0.250 0.648

Computed properties:
energy: -19.16 eV per formula unit
formation energy (no corrections): 0.31 eV per formula unit
relative energy among the computed polymorphs: 266.9 meV per atom

- Among the records above, which one has the highest energy?
  CoSb3